The following is a DFT calculation (GGA-PBE) of crystalline CdAgSO at its relaxed geometry.

Results
Energy above the most stable polymorph in this dataset in eV per atom: 0.094

a b c (Å): 3.7805 3.7805 10.3664
angles (deg): 90.00 90.00 90.00
Positions (direct):
Cd  0.2500  0.2500  0.1107
Cd  0.7500  0.7500  0.8893
Ag  0.2500  0.2500  0.6341
Ag  0.7500  0.7500  0.3659
S  0.2500  0.2500  0.3532
S  0.7500  0.7500  0.6468
O  0.2500  0.7500  0.0000
O  0.7500  0.2500  0.0000